1.
VASP calculation (PBE) on Li2Be2Pd5 after structural relaxation.

The calculation puts the energy of formation from the pure elements at -0.3429 eV/atom. The calculation puts the size of the total moment at 0.00 μB/cell.

```
18
Lattice="-7.553 3.094 2.633 7.553 -3.094 2.633 7.553 3.094 -2.633" Properties=species:S:1:pos:R:3 pbc="T T T"
Li 1.407 0.816 0.000
Li 6.146 0.816 0.000
Li 1.407 2.278 2.633
Li 6.146 2.278 2.633
Be 3.776 1.558 -0.947
Be 3.776 1.536 1.686
Be 0.000 3.094 0.490
Be 0.000 0.000 3.122
Pd 3.776 -0.414 0.394
Pd 8.334 1.887 -1.287
Pd 6.772 -1.207 1.346
Pd 11.329 0.414 0.394
Pd -0.781 1.207 1.346
Pd 8.334 1.207 1.346
Pd 2.469 3.066 0.412
Pd 5.084 3.066 0.412
Pd 2.469 0.028 3.045
Pd 5.084 0.028 3.045
```

=====

2.
VASP calculation (PBE) on Li6BePd12 after structural relaxation.

The calculation puts the energy of formation from the pure elements at -0.2463 eV/atom. The calculation puts the size of the total moment at 0.00 μB/cell.

```
19
Lattice="4.573 2.640 3.722 -4.573 2.640 3.722 0.000 -5.280 3.722" Properties=species:S:1:pos:R:3 pbc="T T T"
Li -2.543 0.583 5.113
Li -1.776 -1.911 6.054
Li 0.767 -2.494 5.113
Li -0.767 2.494 6.054
Li 1.776 1.911 5.113
Li 2.543 -0.583 6.054
Be 0.000 0.000 5.583
Pd -1.193 -4.092 4.784
Pd -4.140 -1.013 6.382
Pd -0.940 -1.253 3.728
Pd -2.947 3.079 4.784
Pd -0.615 1.441 3.728
Pd 1.555 -0.188 3.728
Pd -1.555 0.188 7.439
Pd 0.615 -1.441 7.439
Pd 2.947 -3.079 6.382
Pd 0.940 1.253 7.439
Pd 4.140 1.013 4.784
Pd 1.193 4.092 6.382
```

=====

3.
VASP calculation (PBE) on Li2BePd4 after structural relaxation.

The calculation puts the energy of formation from the pure elements at -0.3432 eV/atom. The value obtained for the energy relative to the lowest polymorph listed for this composition is 0 meV/atom. The calculation puts the size of the total moment at 0.00 μB/cell.

```
7
Lattice="7.504 -1.420 0.000 7.504 1.420 0.000 -1.588 0.000 4.634" Properties=species:S:1:pos:R:3 pbc="T T T"
Li 3.310 0.000 1.227
Li 10.110 0.000 3.407
Be 0.000 0.000 0.000
Pd 0.767 0.000 2.072
Pd 5.806 0.000 0.300
Pd 7.613 0.000 4.334
Pd 12.653 0.000 2.562
```

=====

4.
VASP calculation (PBE) on Li2BePd6 after structural relaxation.

The calculation puts the energy of formation from the pure elements at -0.1046 eV/atom. The calculation puts the size of the total moment at 0.00 μB/cell.

```
9
Lattice="6.212 -2.820 0.000 6.212 2.820 0.000 -1.285 0.000 3.796" Properties=species:S:1:pos:R:3 pbc="T T T"
Li 1.858 0.000 0.630
Li 9.282 0.000 3.166
Be 5.570 0.000 1.898
Pd 3.772 1.387 1.288
Pd 6.212 1.344 0.000
Pd 7.368 1.387 2.509
Pd 3.772 -1.387 1.288
Pd 6.212 -1.344 0.000
Pd 7.368 -1.387 2.509
```

=====

5.
VASP calculation (PBE) on LiBePd after structural relaxation.

The calculation puts the energy of formation from the pure elements at -0.3208 eV/atom. The value obtained for the energy relative to the lowest polymorph listed for this composition is 96 meV/atom. The calculation puts the size of the total moment at 0.00 μB/cell.

```
3
Lattice="-1.465 1.465 4.364 1.465 -1.465 4.364 1.465 1.465 -4.364" Properties=species:S:1:pos:R:3 pbc="T T T"
Li 0.000 0.000 0.000
Be 0.000 0.000 5.994
Pd 0.000 0.000 2.679
```

=====

6.
VASP calculation (PBE) on Li2BePd4 after structural relaxation.

The calculation puts the energy of formation from the pure elements at -0.2926 eV/atom. The value obtained for the energy relative to the lowest polymorph listed for this composition is 51 meV/atom. The calculation puts the size of the total moment at 0.00 μB/cell.

```
7
Lattice="-2.861 2.861 2.888 2.861 -2.861 2.888 2.861 2.861 -2.888" Properties=species:S:1:pos:R:3 pbc="T T T"
Li 2.861 0.000 0.000
Li 0.000 2.861 0.000
Be 0.000 0.000 0.000
Pd 1.431 1.431 -1.444
Pd 1.431 -1.431 1.444
Pd -1.431 1.431 1.444
Pd 1.431 1.431 1.444
```

=====

7.
VASP calculation (PBE) on LiBe3Pd4 after structural relaxation.

The calculation puts the energy of formation from the pure elements at -0.5742 eV/atom. The calculation puts the size of the total moment at 0.00 μB/cell.

```
8
Lattice="2.849 0.000 0.000 0.000 4.061 0.000 0.000 0.000 8.046" Properties=species:S:1:pos:R:3 pbc="T T T"
Li 0.000 0.000 0.000
Be 0.000 0.000 4.023
Be 0.000 2.031 1.994
Be 0.000 2.031 6.052
Pd 1.424 0.000 2.098
Pd 1.424 0.000 5.948
Pd 1.424 2.031 0.000
Pd 1.424 2.031 4.023
```

=====

8.
VASP calculation (PBE) on Li2BePd2 after structural relaxation.

The calculation puts the energy of formation from the pure elements at -0.1584 eV/atom. The value obtained for the energy relative to the lowest polymorph listed for this composition is 243 meV/atom. The calculation puts the size of the total moment at 0.00 μB/cell.

```
10
Lattice="6.478 0.000 0.000 0.000 6.478 0.000 0.000 0.000 2.941" Properties=species:S:1:pos:R:3 pbc="T T T"
Li 0.755 2.483 0.000
Li 2.483 5.722 0.000
Li 3.994 0.755 0.000
Li 5.722 3.994 0.000
Be 0.000 0.000 0.000
Be 3.239 3.239 0.000
Pd 1.222 4.461 1.471
Pd 2.017 1.222 1.471
Pd 4.461 5.256 1.471
Pd 5.256 2.017 1.471
```

=====

9.
VASP calculation (PBE) on LiBePd after structural relaxation.

The calculation puts the energy of formation from the pure elements at -0.4169 eV/atom. The value obtained for the energy relative to the lowest polymorph listed for this composition is 0 meV/atom. The calculation puts the size of the total moment at 0.00 μB/cell.

```
6
Lattice="2.851 0.000 0.000 0.000 3.572 0.000 -1.311 0.000 7.292" Properties=species:S:1:pos:R:3 pbc="T T T"
Li 0.045 0.893 2.985
Li 1.495 2.679 4.307
Be -0.004 0.893 0.629
Be 1.544 2.679 6.663
Pd 0.113 0.893 5.948
Pd 1.427 2.679 1.344
```

=====

10.
VASP calculation (PBE) on LiBe4Pd after structural relaxation.

The calculation puts the energy of formation from the pure elements at -0.3017 eV/atom. The calculation puts the size of the total moment at 0.00 μB/cell.

```
6
Lattice="0.000 3.072 3.072 3.072 0.000 3.072 3.072 3.072 0.000" Properties=species:S:1:pos:R:3 pbc="T T T"
Li 0.000 0.000 0.000
Be 2.307 2.307 2.307
Be 3.837 3.837 2.307
Be 3.837 2.307 3.837
Be 2.307 3.837 3.837
Pd 4.608 4.608 4.608
```

=====

11.
VASP calculation (PBE) on Li2Be2Pd7 after structural relaxation.

The calculation puts the energy of formation from the pure elements at -0.2059 eV/atom. The calculation puts the size of the total moment at 0.00 μB/cell.

```
11
Lattice="3.264 -4.906 0.000 3.264 4.906 0.000 -0.180 0.000 4.744" Properties=species:S:1:pos:R:3 pbc="T T T"
Li 3.264 3.772 0.000
Li 3.264 -3.772 0.000
Be 2.107 0.000 1.606
Be 4.241 0.000 3.139
Pd -0.090 0.000 2.372
Pd 2.205 2.107 1.271
Pd 2.080 0.000 3.896
Pd 4.143 2.107 3.473
Pd 2.205 -2.107 1.271
Pd 4.269 0.000 0.848
Pd 4.143 -2.107 3.473
```

=====

12.
VASP calculation (PBE) on Li2BePd2 after structural relaxation.

The calculation puts the energy of formation from the pure elements at -0.3865 eV/atom. The value obtained for the energy relative to the lowest polymorph listed for this composition is 15 meV/atom. The calculation puts the size of the total moment at 0.00 μB/cell.

```
10
Lattice="5.915 0.000 0.000 0.000 5.915 0.000 0.000 0.000 4.088" Properties=species:S:1:pos:R:3 pbc="T T T"
Li 0.960 1.997 0.000
Li 1.997 4.955 0.000
Li 3.918 0.960 0.000
Li 4.955 3.918 0.000
Be 0.000 0.000 2.044
Be 2.958 2.958 2.044
Pd 0.928 3.885 2.044
Pd 2.030 0.928 2.044
Pd 3.885 4.987 2.044
Pd 4.987 2.030 2.044
```

=====

13.
VASP calculation (PBE) on Li2BePd2 after structural relaxation.

The calculation puts the energy of formation from the pure elements at -0.4018 eV/atom. The value obtained for the energy relative to the lowest polymorph listed for this composition is 0 meV/atom. The calculation puts the size of the total moment at 0.00 μB/cell.

```
20
Lattice="8.815 0.000 0.000 0.000 5.488 0.000 -1.272 0.000 5.527" Properties=species:S:1:pos:R:3 pbc="T T T"
Li 0.472 0.571 0.948
Li -0.164 2.174 3.712
Li 1.503 1.278 5.226
Li 2.139 1.466 2.463
Li 5.404 4.022 3.065
Li 6.040 4.210 0.301
Li 7.706 3.315 1.815
Li 7.070 4.918 4.579
Be 1.832 4.101 5.193
Be 2.468 4.132 2.429
Be 5.075 1.357 3.098
Be 5.711 1.387 0.334
Pd 1.186 3.349 0.628
Pd 0.549 4.884 3.392
Pd 3.422 0.003 4.129
Pd 4.058 2.741 1.366
Pd 3.485 2.747 4.162
Pd 4.121 5.486 1.398
Pd 6.993 0.605 2.135
Pd 6.357 2.139 4.899
```

=====

14.
VASP calculation (PBE) on Li2BePd after structural relaxation.

The calculation puts the energy of formation from the pure elements at 0.0848 eV/atom. The calculation puts the size of the total moment at 0.00 μB/cell.

```
4
Lattice="1.330 0.768 9.143 -1.330 0.768 9.143 0.000 -1.535 9.143" Properties=species:S:1:pos:R:3 pbc="T T T"
Li 0.000 0.000 2.436
Li 0.000 0.000 24.994
Be 0.000 0.000 0.000
Pd 0.000 0.000 13.715
```

=====

15.
VASP calculation (PBE) on LiBePd after structural relaxation.

The calculation puts the energy of formation from the pure elements at -0.2761 eV/atom. The value obtained for the energy relative to the lowest polymorph listed for this composition is 141 meV/atom. The calculation puts the size of the total moment at 0.00 μB/cell.

```
3
Lattice="3.911 0.000 0.000 -1.955 3.387 0.000 0.000 0.000 2.690" Properties=species:S:1:pos:R:3 pbc="T T T"
Li 0.000 0.000 0.000
Be 0.000 2.258 1.887
Pd 1.955 1.129 1.094
```

=====

16.
VASP calculation (PBE) on Li2BePd4 after structural relaxation.

The calculation puts the energy of formation from the pure elements at -0.1478 eV/atom. The value obtained for the energy relative to the lowest polymorph listed for this composition is 195 meV/atom. The calculation puts the size of the total moment at 0.00 μB/cell.

```
7
Lattice="-2.095 2.095 6.285 2.095 -2.095 6.285 2.095 2.095 -6.285" Properties=species:S:1:pos:R:3 pbc="T T T"
Li 0.000 0.000 1.630
Li 0.000 0.000 10.940
Be 0.000 0.000 6.285
Pd 2.095 0.000 0.000
Pd 0.000 0.000 4.137
Pd 0.000 2.095 0.000
Pd 0.000 0.000 8.433
```

=====

17.
VASP calculation (PBE) on Li4BePd5 after structural relaxation.

The calculation puts the energy of formation from the pure elements at -0.4660 eV/atom. The calculation puts the size of the total moment at 0.00 μB/cell.

```
10
Lattice="2.913 0.000 0.000 0.000 2.913 0.000 0.000 0.000 15.245" Properties=species:S:1:pos:R:3 pbc="T T T"
Li 0.000 0.000 1.557
Li 0.000 0.000 4.642
Li 0.000 0.000 10.603
Li 0.000 0.000 13.688
Be 0.000 0.000 7.622
Pd 1.456 1.456 0.000
Pd 1.456 1.456 3.123
Pd 1.456 1.456 6.258
Pd 1.456 1.456 8.986
Pd 1.456 1.456 12.121
```

=====

18.
VASP calculation (PBE) on LiBe2Pd7 after structural relaxation.

The calculation puts the energy of formation from the pure elements at -0.0213 eV/atom. The calculation puts the size of the total moment at 0.00 μB/cell.

```
10
Lattice="3.575 -5.371 0.000 3.575 5.371 0.000 0.000 0.000 4.218" Properties=species:S:1:pos:R:3 pbc="T T T"
Li 0.000 0.000 0.000
Be 3.575 2.225 2.109
Be 3.575 -2.225 2.109
Pd 1.349 1.386 2.109
Pd 3.575 2.206 0.000
Pd 1.349 -1.386 2.109
Pd 3.575 0.000 2.109
Pd 5.801 1.386 2.109
Pd 3.575 -2.206 0.000
Pd 5.801 -1.386 2.109
```

=====

19.
VASP calculation (PBE) on Li3Be2Pd4 after structural relaxation.

The calculation puts the energy of formation from the pure elements at -0.4544 eV/atom. The calculation puts the size of the total moment at 0.00 μB/cell.

```
9
Lattice="4.037 0.000 0.000 -2.019 3.496 0.000 0.000 0.000 7.897" Properties=species:S:1:pos:R:3 pbc="T T T"
Li 0.000 0.000 0.000
Li 0.000 2.331 3.631
Li 2.019 1.165 4.266
Be 0.000 2.331 6.297
Be 2.019 1.165 1.601
Pd 0.000 0.000 2.513
Pd 0.000 0.000 5.384
Pd 0.000 2.331 0.884
Pd 2.019 1.165 7.013
```

=====

20.
VASP calculation (PBE) on LiBe5Pd4 after structural relaxation.

The calculation puts the energy of formation from the pure elements at -0.4274 eV/atom. The calculation puts the size of the total moment at 0.00 μB/cell.

```
10
Lattice="2.826 0.000 0.000 0.000 2.826 0.000 0.000 0.000 14.153" Properties=species:S:1:pos:R:3 pbc="T T T"
Li 0.000 0.000 0.000
Be 1.413 1.413 1.462
Be 1.413 1.413 4.200
Be 1.413 1.413 7.077
Be 1.413 1.413 9.953
Be 1.413 1.413 12.692
Pd 0.000 0.000 2.784
Pd 0.000 0.000 5.653
Pd 0.000 0.000 8.500
Pd 0.000 0.000 11.369
```

=====

21.
VASP calculation (PBE) on Li2BePd2 after structural relaxation.

The calculation puts the energy of formation from the pure elements at -0.3493 eV/atom. The value obtained for the energy relative to the lowest polymorph listed for this composition is 52 meV/atom. The calculation puts the size of the total moment at 0.00 μB/cell.

```
10
Lattice="-2.575 5.405 2.371 2.575 -5.405 2.371 2.575 5.405 -2.371" Properties=species:S:1:pos:R:3 pbc="T T T"
Li 0.702 1.085 0.000
Li 0.702 -1.085 2.371
Li 1.873 6.491 0.000
Li 1.873 4.320 2.371
Be 2.575 0.000 1.186
Be 0.000 5.405 1.186
Pd 3.341 1.801 0.000
Pd 0.766 3.605 0.000
Pd 1.809 1.801 2.371
Pd -0.766 3.605 2.371
```

=====

22.
VASP calculation (PBE) on Li4Be2Pd5 after structural relaxation.

The calculation puts the energy of formation from the pure elements at -0.4967 eV/atom. The calculation puts the size of the total moment at 0.00 μB/cell.

```
22
Lattice="6.568 0.000 0.000 0.000 15.113 0.000 0.000 0.000 2.865" Properties=species:S:1:pos:R:3 pbc="T T T"
Li 0.409 2.170 0.000
Li 1.353 6.599 0.000
Li 1.931 14.155 0.000
Li 2.875 9.726 0.000
Li 3.693 5.387 0.000
Li 4.637 0.958 0.000
Li 5.215 8.514 0.000
Li 6.159 12.943 0.000
Be 0.359 10.542 0.000
Be 2.925 2.986 0.000
Be 3.643 12.127 0.000
Be 6.209 4.571 0.000
Pd 0.000 0.000 1.433
Pd 0.783 8.834 1.433
Pd 1.492 4.210 1.433
Pd 1.792 11.766 1.433
Pd 2.501 1.278 1.433
Pd 3.284 7.556 1.433
Pd 4.067 13.835 1.433
Pd 4.776 3.346 1.433
Pd 5.076 10.903 1.433
Pd 5.785 6.278 1.433
```